# K3LiSb2S6

K3LiSb2S6 after structural relaxation (PBE, Alexandria).

It has space group C2/m (No. 12), with a = 6.816 Å, b = 11.819 Å, c = 7.725 Å, α = 90.00°, β = 107.12° and γ = 90.00°. Symmetry generates all atoms from K at (0.000, 0.000, 0.000), K at (0.000, 0.336, 0.000), Li at (0.000, 0.500, 0.500), Sb at (0.000, 0.167, 0.500), S at (0.226, 0.000, 0.696) and S at (0.236, 0.330, 0.697).

The total moment is 0.0 μB/cell. As for the crystal system: monoclinic. Its formation energy (no corrections) is -0.728 eV per atom.

=====

# KLiSbS3

KLiSbS3 after structural relaxation (PBE, Alexandria).

It has space group P2_1/m (No. 11), with a = 8.898 Å, b = 3.991 Å, c = 8.972 Å, α = 90.00°, β = 110.08° and γ = 90.00°. Symmetry generates all atoms from K at (0.219, 0.250, 0.259), Li at (0.084, 0.250, 0.592), Sb at (0.328, 0.750, 0.844), S at (0.139, 0.250, 0.873), S at (0.206, 0.750, 0.542) and S at (0.472, 0.750, 0.169).

The total moment is 0.0 μB/cell. As for the crystal system: monoclinic. Its formation energy (no corrections) is -0.737 eV per atom.

=====

# KLiSbS2

KLiSbS2 after structural relaxation (PBE, Alexandria).

It has space group P2/c (No. 13), with a = 7.452 Å, b = 3.949 Å, c = 8.271 Å, α = 90.00°, β = 90.14° and γ = 90.00°. Symmetry generates all atoms from K at (0.000, 0.001, 0.250), Li at (0.500, 0.000, 0.000), Sb at (0.500, 0.500, 0.250) and S at (0.259, 0.500, 0.499).

The total moment is 0.0 μB/cell. As for the crystal system: monoclinic. Its formation energy (no corrections) is -0.731 eV per atom.

=====

# KLiSc2S4

KLiSc2S4 after structural relaxation (PBE, Alexandria).

It has space group Cmcm (No. 63), with a = 3.843 Å, b = 12.882 Å, c = 13.394 Å, α = 90.00°, β = 90.00° and γ = 90.00°. Symmetry generates all atoms from K at (0.000, 0.109, 0.250), Li at (0.000, 0.170, 0.750), Sc at (0.000, 0.366, 0.062), S at (0.000, 0.000, 0.000), S at (0.000, 0.261, 0.602) and S at (0.000, 0.425, 0.250).

The total moment is 0.0 μB/cell. As for the crystal system: orthorhombic. Its formation energy (no corrections) is -1.705 eV per atom.

=====

# K2LiSiS4

K2LiSiS4 after structural relaxation (PBE, Alexandria).

It has space group I-42m (No. 121), with a = 7.675 Å, b = 7.675 Å, c = 6.655 Å, α = 90.00°, β = 90.00° and γ = 90.00°. Symmetry generates all atoms from K at (0.000, 0.500, 0.000), Li at (0.000, 0.000, 0.000), Si at (0.000, 0.000, 0.500) and S at (0.151, 0.151, 0.293).

The total moment is 2.1 μB/cell. As for the crystal system: tetragonal. Its formation energy (no corrections) is -0.944 eV per atom.

=====

# KLi2SiS4

KLi2SiS4 after structural relaxation (PBE, Alexandria).

It has space group I-42m (No. 121), with a = 6.550 Å, b = 6.550 Å, c = 8.446 Å, α = 90.00°, β = 90.00° and γ = 90.00°. Symmetry generates all atoms from K at (0.000, 0.000, 0.000), Li at (0.000, 0.500, 0.250), Si at (0.000, 0.000, 0.500) and S at (0.186, 0.186, 0.648).

The total moment is 2.0 μB/cell. As for the crystal system: tetragonal. Its formation energy (no corrections) is -0.964 eV per atom.

=====

# KLiSm2S4

KLiSm2S4 after structural relaxation (PBE, Alexandria).

It has space group Cmcm (No. 63), with a = 4.110 Å, b = 13.694 Å, c = 14.156 Å, α = 90.00°, β = 90.00° and γ = 90.00°. Symmetry generates all atoms from K at (0.000, 0.106, 0.250), Li at (0.000, 0.165, 0.750), Sm at (0.000, 0.366, 0.061), S at (0.000, 0.000, 0.000), S at (0.000, 0.262, 0.609) and S at (0.000, 0.426, 0.250).

The total moment is 0.0 μB/cell. As for the crystal system: orthorhombic. Its formation energy (no corrections) is -1.837 eV per atom.

=====

# K3LiSn3S8

K3LiSn3S8 after structural relaxation (PBE, Alexandria).

It has space group C2/m (No. 12), with a = 13.207 Å, b = 7.618 Å, c = 8.699 Å, α = 90.00°, β = 120.43° and γ = 90.00°. Symmetry generates all atoms from K at (0.000, 0.000, 0.000), K at (0.250, 0.250, 0.000), Li at (0.000, 0.000, 0.500), Sn at (0.000, 0.500, 0.500), Sn at (0.250, 0.250, 0.500), S at (0.024, 0.258, 0.314), S at (0.234, 0.000, 0.686) and S at (0.234, 0.500, 0.703).

The total moment is 0.0 μB/cell. As for the crystal system: monoclinic. Its formation energy (no corrections) is -0.747 eV per atom.

=====

# KLiSnS3

KLiSnS3 after structural relaxation (PBE, Alexandria).

It has space group P2_1/m (No. 11), with a = 8.743 Å, b = 3.914 Å, c = 8.982 Å, α = 90.00°, β = 110.18° and γ = 90.00°. Symmetry generates all atoms from K at (0.224, 0.250, 0.264), Li at (0.080, 0.250, 0.594), Sn at (0.320, 0.750, 0.848), S at (0.132, 0.250, 0.874), S at (0.214, 0.750, 0.551) and S at (0.467, 0.750, 0.151).

The total moment is 0.0 μB/cell. As for the crystal system: monoclinic. Its formation energy (no corrections) is -0.885 eV per atom.

=====

# KLiSnS2

KLiSnS2 after structural relaxation (PBE, Alexandria).

It has space group C2/m (No. 12), with a = 15.741 Å, b = 4.046 Å, c = 8.855 Å, α = 90.00°, β = 98.62° and γ = 90.00°. Symmetry generates all atoms from K at (0.162, 0.000, 0.289), Li at (0.202, 0.000, 0.921), Sn at (0.066, 0.500, 0.733), S at (0.142, 0.500, 0.006) and S at (0.158, 0.000, 0.646).

The total moment is 0.0 μB/cell. As for the crystal system: monoclinic. Its formation energy (no corrections) is -0.952 eV per atom.

=====

# K2LiTaS4

K2LiTaS4 after structural relaxation (PBE, Alexandria).

It has space group C2 (No. 5), with a = 10.273 Å, b = 8.574 Å, c = 7.271 Å, α = 90.00°, β = 134.95° and γ = 90.00°. Symmetry generates all atoms from K at (0.000, 0.000, 0.000), K at (0.000, 0.249, 0.500), Li at (0.000, 0.499, 0.000), Ta at (0.000, 0.749, 0.500), S at (0.149, 0.600, 0.433) and S at (0.216, 0.897, 0.864).

The total moment is 0.0 μB/cell. As for the crystal system: monoclinic. Its formation energy (no corrections) is -1.227 eV per atom.

=====

# KLi2TcS

KLi2TcS after structural relaxation (PBE, Alexandria).

It has space group P4/mmm (No. 123), with a = 4.790 Å, b = 4.790 Å, c = 5.005 Å, α = 90.00°, β = 90.00° and γ = 90.00°. Symmetry generates all atoms from K at (0.000, 0.000, 0.000), Li at (0.000, 0.500, 0.000), Tc at (0.000, 0.000, 0.500) and S at (0.500, 0.500, 0.500).

The total moment is 2.5 μB/cell. As for the crystal system: tetragonal. Its formation energy (no corrections) is 1.511 eV per atom.